5
Lattice="4.284 0.000 0.000 0.000 4.284 0.000 0.000 0.000 4.284" Properties=species:S:1:pos:R:3 comment="ZnCu3Ir | Alexandria | PBE | optimized geometry" ef_mev_per_atom=1068 crystal_system=cubic final_energy_ev_per_atom=-3.417 magmom_total_mub_per_fu=0.00 n_ef_per_ev_fu=3.71 pbc="T T T"
Zn 0.000 0.000 0.000
Cu 0.000 0.000 2.142
Cu 0.000 2.142 0.000
Cu 2.142 0.000 0.000
Ir 2.142 2.142 2.142

=====

9
Lattice="4.597 0.000 0.000 2.294 4.059 0.000 0.974 1.490 6.624" Properties=species:S:1:pos:R:3 comment="Zn5Cu2Ir2 | Alexandria | PBE | optimized geometry" ef_mev_per_atom=-150 crystal_system=triclinic final_energy_ev_per_atom=-3.737 magmom_total_mub_per_fu=0.00 n_ef_per_ev_fu=2.97 pbc="T T T"
Zn 0.000 0.000 0.000
Zn 2.510 4.103 4.445
Zn 2.544 1.435 4.436
Zn 5.321 4.114 2.188
Zn 5.355 1.446 2.178
Cu 3.279 2.846 6.622
Cu 4.585 2.704 0.001
Ir 3.028 2.790 2.164
Ir 4.836 2.759 4.460

=====

5
Lattice="5.202 0.000 0.000 0.000 5.202 0.000 0.000 0.000 4.847" Properties=species:S:1:pos:R:3 comment="ZrZn2CuIr | Alexandria | PBE | optimized geometry" ef_mev_per_atom=1312 crystal_system=tetragonal final_energy_ev_per_atom=-3.499 magmom_total_mub_per_fu=0.00 n_ef_per_ev_fu=4.80 pbc="T T T"
Zr 0.000 0.000 0.000
Zn 0.000 2.601 0.000
Zn 2.601 0.000 0.000
Cu 2.601 2.601 2.423
Ir 0.000 0.000 2.423

=====

10
Lattice="7.178 0.000 0.000 0.000 7.178 0.000 0.000 0.000 2.961" Properties=species:S:1:pos:R:3 comment="ZrCu2Ir2 | Alexandria | PBE | optimized geometry" ef_mev_per_atom=-105 crystal_system=tetragonal final_energy_ev_per_atom=-6.998 magmom_total_mub_per_fu=0.00 n_ef_per_ev_fu=3.96 pbc="T T T"
Zr 0.000 0.000 0.000
Zr 3.589 3.589 0.000
Cu 1.193 2.396 1.481
Cu 2.396 5.985 1.481
Cu 4.782 1.193 1.481
Cu 5.985 4.782 1.481
Ir 0.945 4.534 0.000
Ir 2.644 0.945 0.000
Ir 4.534 6.233 0.000
Ir 6.233 2.644 0.000

=====

8
Lattice="-3.695 3.695 2.818 3.695 -3.695 2.818 3.695 3.695 -2.818" Properties=species:S:1:pos:R:3 comment="Zr2CuIr | Alexandria | PBE | optimized geometry" ef_mev_per_atom=-28 crystal_system=tetragonal final_energy_ev_per_atom=-7.542 magmom_total_mub_per_fu=0.00 n_ef_per_ev_fu=4.38 pbc="T T T"
Zr 5.543 1.723 -0.705
Zr 1.723 1.848 0.705
Zr -1.848 1.972 2.114
Zr 1.972 1.848 3.523
Cu 3.695 0.000 1.409
Cu 0.000 0.000 2.818
Ir 0.000 0.000 0.000
Ir 0.000 3.695 1.409

=====

4
Lattice="3.397 0.000 0.000 0.000 3.397 0.000 0.000 0.000 6.239" Properties=species:S:1:pos:R:3 comment="Zr2CuIr | Alexandria | PBE | optimized geometry" ef_mev_per_atom=-319 crystal_system=tetragonal final_energy_ev_per_atom=-7.833 magmom_total_mub_per_fu=0.00 n_ef_per_ev_fu=3.66 pbc="T T T"
Zr 0.000 0.000 0.000
Zr 1.698 1.698 2.017
Cu 0.000 0.000 3.417
Ir 1.698 1.698 4.817

=====

6
Lattice="0.000 3.920 3.920 3.920 0.000 3.920 3.920 3.920 0.000" Properties=species:S:1:pos:R:3 comment="Zr4CuIr | Alexandria | PBE | optimized geometry" ef_mev_per_atom=457 crystal_system=cubic final_energy_ev_per_atom=-7.401 magmom_total_mub_per_fu=0.00 n_ef_per_ev_fu=5.31 pbc="T T T"
Zr 2.951 2.951 2.951
Zr 4.890 4.890 2.951
Zr 4.890 2.951 4.890
Zr 2.951 4.890 4.890
Cu 0.000 0.000 0.000
Ir 5.880 5.880 5.880

=====

8
Lattice="-1.984 1.984 8.820 1.984 -1.984 8.820 1.984 1.984 -8.820" Properties=species:S:1:pos:R:3 comment="ZrCuIr2 | Alexandria | PBE | optimized geometry" ef_mev_per_atom=-20 crystal_system=tetragonal final_energy_ev_per_atom=-7.611 magmom_total_mub_per_fu=0.00 n_ef_per_ev_fu=3.00 pbc="T T T"
Zr 0.000 0.000 0.000
Zr 0.000 1.984 4.410
Cu 1.984 0.000 4.410
Cu 0.000 0.000 8.820
Ir 0.992 -0.790 6.615
Ir 1.194 0.992 2.205
Ir 0.992 2.774 -2.205
Ir 0.790 0.992 11.025

=====

5
Lattice="4.568 0.000 0.000 0.000 4.568 0.000 0.000 0.000 4.568" Properties=species:S:1:pos:R:3 comment="ZrCu3Ir | Alexandria | PBE | optimized geometry" ef_mev_per_atom=827 crystal_system=cubic final_energy_ev_per_atom=-5.112 magmom_total_mub_per_fu=0.00 n_ef_per_ev_fu=6.06 pbc="T T T"
Zr 0.000 0.000 0.000
Cu 0.000 2.284 2.284
Cu 2.284 0.000 2.284
Cu 2.284 2.284 0.000
Ir 2.284 2.284 2.284

=====

4
Lattice="-1.947 1.947 4.118 1.947 -1.947 4.118 1.947 1.947 -4.118" Properties=species:S:1:pos:R:3 comment="ZrCuIr2 | Alexandria | PBE | optimized geometry" ef_mev_per_atom=-382 crystal_system=tetragonal final_energy_ev_per_atom=-7.973 magmom_total_mub_per_fu=0.00 n_ef_per_ev_fu=6.57 pbc="T T T"
Zr 0.000 0.000 0.000
Cu 1.947 0.000 2.059
Ir 0.000 0.000 4.118
Ir 0.000 1.947 2.059

=====

4
Lattice="1.797 1.038 7.125 -1.797 1.038 7.125 0.000 -2.075 7.125" Properties=species:S:1:pos:R:3 comment="Zr2CuIr | Alexandria | PBE | optimized geometry" ef_mev_per_atom=-186 crystal_system=trigonal final_energy_ev_per_atom=-7.699 magmom_total_mub_per_fu=0.00 n_ef_per_ev_fu=2.84 pbc="T T T"
Zr 0.000 0.000 5.270
Zr 0.000 0.000 16.104
Cu 0.000 0.000 0.000
Ir 0.000 0.000 10.687

=====

4
Lattice="5.068 -1.537 0.000 5.068 1.537 0.000 -1.083 0.000 4.605" Properties=species:S:1:pos:R:3 comment="Zr2CuIr | Alexandria | PBE | optimized geometry" ef_mev_per_atom=-359 crystal_system=monoclinic final_energy_ev_per_atom=-7.872 magmom_total_mub_per_fu=0.00 n_ef_per_ev_fu=3.62 pbc="T T T"
Zr 0.000 0.000 0.000
Zr 1.549 0.000 3.028
Cu 4.231 0.000 2.236
Ir 7.502 0.000 0.849

=====

5
Lattice="5.055 0.000 0.000 0.000 5.055 0.000 0.000 0.000 5.055" Properties=species:S:1:pos:R:3 comment="Zr3CuIr | Alexandria | PBE | optimized geometry" ef_mev_per_atom=427 crystal_system=cubic final_energy_ev_per_atom=-7.293 magmom_total_mub_per_fu=0.00 n_ef_per_ev_fu=9.65 pbc="T T T"
Zr 0.000 0.000 2.527
Zr 0.000 2.527 0.000
Zr 2.527 0.000 0.000
Cu 2.527 2.527 2.527
Ir 0.000 0.000 0.000

=====

5
Lattice="4.465 0.000 0.000 0.000 4.465 0.000 0.000 0.000 4.465" Properties=species:S:1:pos:R:3 comment="ZrCuIr3 | Alexandria | PBE | optimized geometry" ef_mev_per_atom=745 crystal_system=cubic final_energy_ev_per_atom=-7.100 magmom_total_mub_per_fu=0.00 n_ef_per_ev_fu=5.65 pbc="T T T"
Zr 0.000 0.000 0.000
Cu 2.232 2.232 2.232
Ir 0.000 2.232 2.232
Ir 2.232 0.000 2.232
Ir 2.232 2.232 0.000

=====

4
Lattice="4.696 -1.468 0.000 4.696 1.468 0.000 -0.960 0.000 4.580" Properties=species:S:1:pos:R:3 comment="ZrCuIr2 | Alexandria | PBE | optimized geometry" ef_mev_per_atom=-229 crystal_system=monoclinic final_energy_ev_per_atom=-7.821 magmom_total_mub_per_fu=0.00 n_ef_per_ev_fu=4.50 pbc="T T T"
Zr 0.000 0.000 0.000
Cu 1.560 0.000 3.378
Ir 4.191 0.000 2.303
Ir 6.872 0.000 1.209

=====

5
Lattice="-1.751 1.751 6.519 1.751 -1.751 6.519 1.751 1.751 -6.519" Properties=species:S:1:pos:R:3 comment="ZrCu2Ir2 | Alexandria | PBE | optimized geometry" ef_mev_per_atom=-152 crystal_system=tetragonal final_energy_ev_per_atom=-7.044 magmom_total_mub_per_fu=0.00 n_ef_per_ev_fu=1.85 pbc="T T T"
Zr 0.000 0.000 0.000
Cu 1.751 0.000 3.260
Cu 0.000 1.751 3.260
Ir 0.000 0.000 5.159
Ir 0.000 0.000 7.879

=====

6
Lattice="0.000 3.445 3.445 3.445 0.000 3.445 3.445 3.445 0.000" Properties=species:S:1:pos:R:3 comment="ZrCu4Ir | Alexandria | PBE | optimized geometry" ef_mev_per_atom=-264 crystal_system=cubic final_energy_ev_per_atom=-5.896 magmom_total_mub_per_fu=0.00 n_ef_per_ev_fu=4.38 pbc="T T T"
Zr 0.000 0.000 0.000
Cu 2.587 2.587 2.587
Cu 4.302 4.302 2.587
Cu 4.302 2.587 4.302
Cu 2.587 4.302 4.302
Ir 5.167 5.167 5.167

=====

12
Lattice="2.827 -4.010 0.000 2.827 4.010 0.000 -2.806 0.000 8.484" Properties=species:S:1:pos:R:3 comment="Zr2Cu3Ir | Alexandria | PBE | optimized geometry" ef_mev_per_atom=-234 crystal_system=monoclinic final_energy_ev_per_atom=-6.608 magmom_total_mub_per_fu=0.00 n_ef_per_ev_fu=4.58 pbc="T T T"
Zr 0.711 0.999 0.901
Zr -0.692 -0.999 5.143
Zr 3.540 0.999 3.341
Zr 2.137 -0.999 7.583
Cu 0.715 1.006 3.667
Cu 0.722 1.005 6.363
Cu -0.688 -1.006 7.908
Cu 3.536 1.006 0.575
Cu 2.125 -1.005 2.121
Cu 2.133 -1.006 4.817
Ir 2.125 3.007 2.121
Ir 0.722 -3.007 6.363

=====

4
Lattice="0.000 3.240 3.240 3.240 0.000 3.240 3.240 3.240 0.000" Properties=species:S:1:pos:R:3 comment="Zr2CuIr | Alexandria | PBE | optimized geometry" ef_mev_per_atom=-311 crystal_system=cubic final_energy_ev_per_atom=-7.824 magmom_total_mub_per_fu=0.00 n_ef_per_ev_fu=1.02 pbc="T T T"
Zr 0.000 0.000 0.000
Zr 1.620 1.620 1.620
Cu 3.240 3.240 3.240
Ir 4.860 4.860 4.860

=====

7
Lattice="-1.901 1.901 8.676 1.901 -1.901 8.676 1.901 1.901 -8.676" Properties=species:S:1:pos:R:3 comment="Zr2CuIr4 | Alexandria | PBE | optimized geometry" ef_mev_per_atom=-250 crystal_system=tetragonal final_energy_ev_per_atom=-8.341 magmom_total_mub_per_fu=0.00 n_ef_per_ev_fu=7.97 pbc="T T T"
Zr 0.000 0.000 1.837
Zr 0.000 0.000 15.515
Cu 0.000 0.000 8.676
Ir 1.901 0.000 4.338
Ir 0.000 0.000 6.228
Ir 0.000 0.000 11.124
Ir 0.000 1.901 4.338

=====

6
Lattice="-3.328 3.328 2.670 3.328 -3.328 2.670 3.328 3.328 -2.670" Properties=species:S:1:pos:R:3 comment="Zr4CuIr | Alexandria | PBE | optimized geometry" ef_mev_per_atom=-395 crystal_system=tetragonal final_energy_ev_per_atom=-8.253 magmom_total_mub_per_fu=0.00 n_ef_per_ev_fu=7.47 pbc="T T T"
Zr 2.254 -1.074 1.335
Zr 4.402 1.074 1.335
Zr 1.074 2.254 1.335
Zr -1.074 4.402 1.335
Cu 0.000 0.000 2.670
Ir 0.000 0.000 0.000

=====

4
Lattice="4.014 0.000 0.000 0.000 4.014 0.000 0.000 0.000 3.834" Properties=species:S:1:pos:R:3 comment="ZrCuIr2 | Alexandria | PBE | optimized geometry" ef_mev_per_atom=-531 crystal_system=tetragonal final_energy_ev_per_atom=-8.123 magmom_total_mub_per_fu=0.00 n_ef_per_ev_fu=3.55 pbc="T T T"
Zr 0.000 0.000 0.000
Cu 2.007 2.007 0.000
Ir 0.000 2.007 1.917
Ir 2.007 0.000 1.917

=====

4
Lattice="-1.735 2.190 4.755 1.735 -2.190 4.755 1.735 2.190 -4.755" Properties=species:S:1:pos:R:3 comment="Zr2CuIr | Alexandria | PBE | optimized geometry" ef_mev_per_atom=-360 crystal_system=orthorhombic final_energy_ev_per_atom=-7.874 magmom_total_mub_per_fu=0.00 n_ef_per_ev_fu=2.57 pbc="T T T"
Zr 0.000 0.000 0.000
Zr 0.000 2.190 2.214
Cu 0.000 0.000 4.379
Ir 1.735 0.000 2.201

=====

4
Lattice="4.576 0.000 0.000 0.000 3.108 0.000 -0.154 0.000 5.390" Properties=species:S:1:pos:R:3 comment="Zr2CuIr | Alexandria | PBE | optimized geometry" ef_mev_per_atom=-177 crystal_system=monoclinic final_energy_ev_per_atom=-7.691 magmom_total_mub_per_fu=0.00 n_ef_per_ev_fu=3.69 pbc="T T T"
Zr 0.000 0.000 0.000
Zr 2.211 1.554 2.695
Cu -0.077 0.000 2.695
Ir 2.288 1.554 0.000

=====

12
Lattice="2.330 -7.011 0.000 2.330 7.011 0.000 0.000 0.000 6.620" Properties=species:S:1:pos:R:3 comment="Zr3CuIr2 | Alexandria | PBE | optimized geometry" ef_mev_per_atom=-596 crystal_system=orthorhombic final_energy_ev_per_atom=-8.506 magmom_total_mub_per_fu=0.00 n_ef_per_ev_fu=4.58 pbc="T T T"
Zr 0.000 0.000 1.648
Zr 0.000 0.000 4.972
Zr 2.330 2.334 1.656
Zr 2.330 2.334 4.964
Zr 2.330 -2.334 1.656
Zr 2.330 -2.334 4.964
Cu 2.330 4.590 0.000
Cu 2.330 -4.590 0.000
Ir 2.330 4.712 3.310
Ir 2.330 0.000 0.000
Ir 2.330 0.000 3.310
Ir 2.330 -4.712 3.310

=====

3
Lattice="4.354 0.000 0.000 -2.177 3.771 0.000 0.000 0.000 3.021" Properties=species:S:1:pos:R:3 comment="ZrCuIr | Alexandria | PBE | optimized geometry" ef_mev_per_atom=-377 crystal_system=trigonal final_energy_ev_per_atom=-7.546 magmom_total_mub_per_fu=0.00 n_ef_per_ev_fu=2.86 pbc="T T T"
Zr 0.000 0.000 0.000
Cu 2.177 1.257 1.509
Ir 0.000 2.514 1.516

=====

10
Lattice="9.602 -1.745 0.000 9.602 1.745 0.000 -0.481 0.000 5.980" Properties=species:S:1:pos:R:3 comment="Zr3CuIr | Alexandria | PBE | optimized geometry" ef_mev_per_atom=-330 crystal_system=monoclinic final_energy_ev_per_atom=-8.050 magmom_total_mub_per_fu=0.00 n_ef_per_ev_fu=4.92 pbc="T T T"
Zr 0.029 0.000 1.593
Zr 3.392 0.000 0.555
Zr 6.952 0.000 2.581
Zr 11.771 0.000 3.399
Zr 15.331 0.000 5.425
Zr 18.694 0.000 4.387
Cu 4.233 0.000 3.819
Cu 14.490 0.000 2.162
Ir 7.608 0.000 5.971
Ir 11.114 0.000 0.010